Record 1
Entry from Alexandria: an optimized crystal structure of KAg4Os (PBE).

CIF file:
```
data_KAg4Os
_chemical_formula_sum 'K1 Ag4 Os1'
_symmetry_space_group_name_H-M 'P 1'
_symmetry_Int_Tables_number 1
_cell_length_a 5.585
_cell_length_b 5.585
_cell_length_c 5.585
_cell_angle_alpha 60.00
_cell_angle_beta 60.00
_cell_angle_gamma 60.00
loop_
_symmetry_equiv_pos_as_xyz
'x,y,z'
loop_
_atom_site_label
_atom_site_fract_x
_atom_site_fract_y
_atom_site_fract_z
K1 0.750 0.750 0.750
Ag1 0.876 0.375 0.375
Ag2 0.375 0.375 0.876
Ag3 0.375 0.876 0.375
Ag4 0.375 0.375 0.375
Os1 0.000 0.000 0.000
```

Calculated values
Spin magnetization (μB/f.u.): 2.12
Total energy (eV per atom): -3.134
ρ (g cm⁻³): 8.91

=====

Record 2
Entry from Alexandria: an optimized crystal structure of KAgOs2 (PBE).

CIF file:
```
data_KAgOs2
_chemical_formula_sum 'K1 Ag1 Os2'
_symmetry_space_group_name_H-M 'P 1'
_symmetry_Int_Tables_number 1
_cell_length_a 2.765
_cell_length_b 3.831
_cell_length_c 8.063
_cell_angle_alpha 90.00
_cell_angle_beta 90.00
_cell_angle_gamma 90.00
loop_
_symmetry_equiv_pos_as_xyz
'x,y,z'
loop_
_atom_site_label
_atom_site_fract_x
_atom_site_fract_y
_atom_site_fract_z
Ag1 0.000 0.000 0.440
K1 0.500 0.500 0.762
Os1 0.000 0.000 0.088
Os2 0.500 0.500 0.210
```

Calculated values
Spin magnetization (μB/f.u.): 0.00
Total energy (eV per atom): -5.971
ρ (g cm⁻³): 10.25
Energy above the lowest structure with this stoichiometry (eV/atom): 0.000

=====

Record 3
Entry from Alexandria: an optimized crystal structure of KAgOs2 (PBE).

CIF file:
```
data_KAgOs2
_chemical_formula_sum 'K2 Ag2 Os4'
_symmetry_space_group_name_H-M 'P 1'
_symmetry_Int_Tables_number 1
_cell_length_a 4.143
_cell_length_b 4.143
_cell_length_c 10.828
_cell_angle_alpha 78.97
_cell_angle_beta 78.97
_cell_angle_gamma 90.00
loop_
_symmetry_equiv_pos_as_xyz
'x,y,z'
loop_
_atom_site_label
_atom_site_fract_x
_atom_site_fract_y
_atom_site_fract_z
K1 0.500 0.500 0.000
K2 0.250 0.750 0.500
Os1 0.014 0.125 0.250
Os2 0.736 0.625 0.250
Os3 0.375 0.986 0.750
Os4 0.875 0.264 0.750
Ag1 0.000 0.000 0.000
Ag2 0.750 0.250 0.500
```

Calculated values
Spin magnetization (μB/f.u.): 0.00
Total energy (eV per atom): -5.242
ρ (g cm⁻³): 9.79
Energy above the lowest structure with this stoichiometry (eV/atom): 0.728

=====

Record 4
Entry from Alexandria: an optimized crystal structure of KAgOs2 (PBE).

CIF file:
```
data_KAgOs2
_chemical_formula_sum 'K1 Ag1 Os2'
_symmetry_space_group_name_H-M 'P 1'
_symmetry_Int_Tables_number 1
_cell_length_a 5.900
_cell_length_b 5.900
_cell_length_c 2.570
_cell_angle_alpha 90.00
_cell_angle_beta 90.00
_cell_angle_gamma 124.44
loop_
_symmetry_equiv_pos_as_xyz
'x,y,z'
loop_
_atom_site_label
_atom_site_fract_x
_atom_site_fract_y
_atom_site_fract_z
Ag1 0.500 0.000 0.500
K1 0.000 0.500 0.500
Os1 0.000 0.000 0.000
Os2 0.500 0.500 0.000
```

Calculated values
Spin magnetization (μB/f.u.): 0.00
Total energy (eV per atom): -5.283
ρ (g cm⁻³): 11.87
Energy above the lowest structure with this stoichiometry (eV/atom): 0.688

=====

Record 5
Entry from Alexandria: an optimized crystal structure of KAgOs2 (PBE).

CIF file:
```
data_KAgOs2
_chemical_formula_sum 'K1 Ag1 Os2'
_symmetry_space_group_name_H-M 'P 1'
_symmetry_Int_Tables_number 1
_cell_length_a 4.707
_cell_length_b 4.707
_cell_length_c 4.707
_cell_angle_alpha 60.00
_cell_angle_beta 60.00
_cell_angle_gamma 60.00
loop_
_symmetry_equiv_pos_as_xyz
'x,y,z'
loop_
_atom_site_label
_atom_site_fract_x
_atom_site_fract_y
_atom_site_fract_z
K1 0.000 0.000 0.000
Os1 0.250 0.250 0.250
Os2 0.750 0.750 0.750
Ag1 0.500 0.500 0.500
```

Calculated values
Spin magnetization (μB/f.u.): 3.50
Total energy (eV per atom): -4.451
ρ (g cm⁻³): 11.87
Energy above the lowest structure with this stoichiometry (eV/atom): 1.519

=====

Record 6
Entry from Alexandria: an optimized crystal structure of KAgOs2 (PBE).

CIF file:
```
data_KAgOs2
_chemical_formula_sum 'K1 Ag1 Os2'
_symmetry_space_group_name_H-M 'P 1'
_symmetry_Int_Tables_number 1
_cell_length_a 5.905
_cell_length_b 5.905
_cell_length_c 5.905
_cell_angle_alpha 142.74
_cell_angle_beta 142.74
_cell_angle_gamma 53.72
loop_
_symmetry_equiv_pos_as_xyz
'x,y,z'
loop_
_atom_site_label
_atom_site_fract_x
_atom_site_fract_y
_atom_site_fract_z
Ag1 0.250 0.750 0.500
K1 0.750 0.250 0.500
Os1 0.000 0.000 0.000
Os2 0.500 0.500 0.000
```

Calculated values
Spin magnetization (μB/f.u.): 0.00
Total energy (eV per atom): -5.110
ρ (g cm⁻³): 11.68
Energy above the lowest structure with this stoichiometry (eV/atom): 0.861

=====

no.,energy of formation (eV/atom)
1,0.821
2,0.631
3,1.360
4,1.319
5,2.151
6,1.492